Compound: LaC3Br
Source: Alexandria
Functional: PBE
Structure: optimized geometry

Lattice parameters (Å, degrees): 4.1793 4.1793 4.1793 90.00 90.00 90.00
Closest atoms and distances in Å follow each position.
Fractional coordinates of all 5 atoms:
La  0.0000  0.0000  0.0000  12 C 2.96
C  0.0000  0.5000  0.5000  2 Br 2.09
C  0.5000  0.0000  0.5000  2 Br 2.09
C  0.5000  0.5000  0.0000  2 Br 2.09
Br  0.5000  0.5000  0.5000  6 C 2.09

## Properties
Its raw total energy is -4.57 eV/atom.